CaY5 | GGA-PBEsol | relaxed

## Properties
Polymorph energy (0 for the lowest one): 0.0094 eV per atom
E_form: 60 meV per atom
Total moment: 0.020 μB per atom
VASP energy: -0.220 Ha/atom

Cell: 3.581 5.678 9.614 Å, 90.00 100.73 90.00°
Element x y z (fractional)
Y: 0.329 0.000 0.659
Y: 0.671 0.000 0.342
Y: 0.441 0.500 0.882
Y: 0.778 0.500 0.556
Y: 0.113 0.500 0.226
Ca: 0.001 0.000 0.003

=====

Ca2Y | GGA-PBEsol | relaxed

## Properties
Polymorph energy (0 for the lowest one): 0.0132 eV per atom
E_form: 97 meV per atom
Total moment: 0.142 μB per atom
VASP energy: -0.132 Ha/atom

Cell: 3.699 7.084 8.941 Å, 105.71 90.00 105.13°
Site moments in Bohr magnetons follow the coordinates.
Element x y z (fractional)
Y: 0.202 0.403 0.124  0.19
Y: 0.798 0.597 0.876  0.19
Ca: 0.522 0.044 0.812  0.02
Ca: 0.857 0.714 0.465  0.01
Ca: 0.143 0.286 0.535  0.01
Ca: 0.478 0.956 0.188  0.02

=====

What is the VASP energy in the first record? -0.220 Ha/atom

=====

Please write out number 1 again, unchanged.
CaY5 | GGA-PBEsol | relaxed

## Properties
Polymorph energy (0 for the lowest one): 0.0094 eV per atom
E_form: 60 meV per atom
Total moment: 0.020 μB per atom
VASP energy: -0.220 Ha/atom

Cell: 3.581 5.678 9.614 Å, 90.00 100.73 90.00°
Element x y z (fractional)
Y: 0.329 0.000 0.659
Y: 0.671 0.000 0.342
Y: 0.441 0.500 0.882
Y: 0.778 0.500 0.556
Y: 0.113 0.500 0.226
Ca: 0.001 0.000 0.003

=====

What did the second record say?
Ca2Y | GGA-PBEsol | relaxed

## Properties
Polymorph energy (0 for the lowest one): 0.0132 eV per atom
E_form: 97 meV per atom
Total moment: 0.142 μB per atom
VASP energy: -0.132 Ha/atom

Cell: 3.699 7.084 8.941 Å, 105.71 90.00 105.13°
Site moments in Bohr magnetons follow the coordinates.
Element x y z (fractional)
Y: 0.202 0.403 0.124  0.19
Y: 0.798 0.597 0.876  0.19
Ca: 0.522 0.044 0.812  0.02
Ca: 0.857 0.714 0.465  0.01
Ca: 0.143 0.286 0.535  0.01
Ca: 0.478 0.956 0.188  0.02

=====

The highest E_form belongs to which entry? Ca2Y